Material: MnVFeF6
Method: DFT, GGA+U
State: optimized geometry

Results
Its crystal system is trigonal. The total DFT energy (no corrections) is -5.987 eV per atom. The space group is P-31c.

abc: 5.405 5.405 9.277
angles: 90.00 90.00 120.00
Last column: magnetic moment on the atom in μB.
Element x y z (fractional)
F 0.664 0.997 0.370  0.04
F 0.997 0.664 0.870  0.04
F 0.667 0.003 0.870  0.04
Fe 0.667 0.333 0.750  3.83
F 0.336 0.333 0.870  0.04
F 0.336 0.003 0.630  0.04
F 0.667 0.664 0.630  0.04
Fe 0.333 0.667 0.250  3.83
F 0.333 0.997 0.130  0.04
V 0.667 0.333 0.250  2.77
Mn 0.000 0.000 0.000  4.71
V 0.333 0.667 0.750  2.77
Mn 0.000 0.000 0.500  4.71
F 0.333 0.336 0.370  0.04
F 0.003 0.667 0.370  0.04
F 0.997 0.333 0.630  0.04
F 0.664 0.667 0.130  0.04
F 0.003 0.336 0.130  0.04